Entry 1:
Material: LaDy12Tl3
Method: DFT, GGA-PBE
State: relaxed

Lattice parameters (Å, degrees): 4.862 4.862 20.037 90.00 90.00 90.00
Element x y z (fractional)
Dy 0.500 0.500 0.000
Dy 0.000 0.500 0.866
Dy 0.500 0.000 0.866
Dy 0.000 0.500 0.134
Dy 0.500 0.500 0.743
Dy 0.500 0.000 0.622
Dy 0.500 0.500 0.257
Dy 0.500 0.000 0.378
Dy 0.000 0.500 0.622
Dy 0.500 0.500 0.500
Dy 0.000 0.500 0.378
Dy 0.500 0.000 0.134
Tl 0.000 0.000 0.258
Tl 0.000 0.000 0.500
Tl 0.000 0.000 0.742
La 0.000 0.000 0.000

Output
Its crystal system is tetragonal. The value obtained for the formation enthalpy at 0 K is -0.115 eV/atom.

Entry 2:
Material: NaCuSbS2
Method: DFT, GGA-PBE
State: relaxed

Lattice parameters (Å, degrees): 4.171 6.893 8.052 100.36 90.00 90.00
Element x y z (fractional)
S 0.687 0.265 0.538
S 0.313 0.265 0.038
S 0.313 0.735 0.462
S 0.687 0.735 0.962
Cu 0.000 0.000 0.500
Cu 0.000 0.000 0.000
Sb 0.515 0.000 0.750
Sb 0.485 0.000 0.250
Na 0.822 0.500 0.250
Na 0.178 0.500 0.750

Output
The formation energy without anion corrections comes out at -1.7 eV/f.u. Its crystal system is monoclinic.

Entry 3:
Material: Ba2BiOsN
Method: DFT, GGA-PBE
State: relaxed

Lattice parameters (Å, degrees): 6.154 6.154 3.796 90.00 90.00 90.00
Last column: magnetic moment on the atom in μB.
Element x y z (fractional)
Os 0.000 0.000 0.500  0.39
Ba 0.500 0.000 0.000  0.00
Ba 0.000 0.500 0.000  0.00
Bi 0.500 0.500 0.500  0.09
N 0.000 0.000 0.000  -0.01

Output
The formation energy without anion corrections comes out at -1.8 eV/f.u. Its crystal system is tetragonal.

Entry 4:
Material: NbTc5B3
Method: DFT, GGA-PBE
State: relaxed

Lattice parameters (Å, degrees): 5.802 5.802 8.082 106.00 104.62 105.33
Element x y z (fractional)
B 0.725 0.417 0.143
B 0.000 0.000 0.000
B 0.275 0.583 0.857
B 0.390 0.014 0.404
B 0.610 0.986 0.596
B 0.000 0.500 0.500
Tc 0.694 0.694 0.000
Tc 0.601 0.341 0.364
Tc 0.259 0.833 0.092
Tc 0.399 0.659 0.636
Tc 0.977 0.237 0.636
Tc 0.576 0.750 0.326
Tc 0.741 0.167 0.908
Tc 0.424 0.250 0.674
Tc 0.023 0.763 0.364
Tc 0.306 0.306 0.000
Nb 0.078 0.213 0.291
Nb 0.922 0.787 0.709

Output
Its crystal system is monoclinic. The value obtained for the formation enthalpy at 0 K is -0.013 eV/atom.

Entry 5:
Material: AsBrCl2
Method: DFT, GGA-PBE
State: relaxed

Lattice parameters (Å, degrees): 4.935 4.935 4.935 60.00 60.00 60.00
Element x y z (fractional)
Br 0.500 0.500 0.500
Cl 0.250 0.250 0.250
Cl 0.750 0.750 0.750
As 0.000 0.000 0.000

Output
The formation energy without anion corrections comes out at 1.7 eV/f.u. Its crystal system is cubic.

Entry 6:
Material: Nd2ZnGePb
Method: DFT, GGA-PBE
State: relaxed

Lattice parameters (Å, degrees): 4.581 7.805 7.643 90.03 90.00 90.00
Element x y z (fractional)
Ge 0.750 0.085 0.250
Ge 0.250 0.915 0.750
Pb 0.250 0.602 0.250
Pb 0.750 0.398 0.750
Nd 0.750 0.782 0.506
Nd 0.750 0.782 0.994
Nd 0.250 0.218 0.494
Nd 0.250 0.218 0.006
Zn 0.250 0.596 0.749
Zn 0.750 0.404 0.251

Output
Its crystal system is monoclinic. The value obtained for the formation enthalpy at 0 K is -0.554 eV/atom.

Entry 7:
Material: BaLi6Mg
Method: DFT, GGA-PBE
State: relaxed

Lattice parameters (Å, degrees): 5.834 5.834 5.834 90.00 90.00 90.00
Element x y z (fractional)
Li 0.000 0.500 0.778
Li 0.222 0.000 0.500
Li 0.500 0.222 0.000
Li 0.000 0.500 0.222
Li 0.500 0.778 0.000
Li 0.778 0.000 0.500
Mg 0.000 0.000 0.000
Ba 0.500 0.500 0.500

Output
Its crystal system is cubic. The value obtained for the formation enthalpy at 0 K is 0.086 eV/atom.

Entry 8:
Material: TlInTe2N
Method: DFT, GGA-PBE
State: relaxed

Lattice parameters (Å, degrees): 6.124 6.124 4.078 90.00 90.00 90.00
Last column: magnetic moment on the atom in μB.
Element x y z (fractional)
Te 0.000 0.500 0.000  0.17
Te 0.500 0.000 0.000  0.17
Tl 0.500 0.500 0.500  0.01
In 0.000 0.000 0.000  -0.03
N 0.000 0.000 0.500  0.88

Output
The formation energy without anion corrections comes out at 3.1 eV/f.u. Its crystal system is tetragonal.

Entry 9:
Material: SbIr2Au2
Method: DFT, GGA-PBE
State: relaxed

Lattice parameters (Å, degrees): 6.671 6.671 4.185 90.00 90.00 90.00
Element x y z (fractional)
Ir 0.638 0.138 0.000
Ir 0.362 0.862 0.000
Ir 0.138 0.362 0.000
Ir 0.862 0.638 0.000
Sb 0.500 0.500 0.000
Sb 0.000 0.000 0.000
Au 0.839 0.339 0.500
Au 0.339 0.161 0.500
Au 0.161 0.661 0.500
Au 0.661 0.839 0.500

Output
The formation energy without anion corrections comes out at 1.4 eV/f.u. Its crystal system is tetragonal.

Entry 10:
Material: Tb3SmTh2Se6
Method: DFT, GGA-PBE
State: relaxed

Lattice parameters (Å, degrees): 7.107 7.107 7.285 99.38 99.38 119.76
Element x y z (fractional)
Se 0.419 0.087 0.262
Se 0.755 0.755 0.260
Se 0.581 0.913 0.738
Se 0.245 0.245 0.740
Se 0.087 0.419 0.262
Se 0.913 0.581 0.738
Th 0.333 0.667 0.000
Th 0.667 0.333 0.000
Tb 0.835 0.165 0.500
Tb 0.165 0.835 0.500
Tb 0.500 0.500 0.500
Sm 0.000 0.000 0.000

Output
The formation energy without anion corrections comes out at -20.3 eV/f.u. Its crystal system is monoclinic.